Entry 1:
VASP calculation (PBE-GGA) on crystalline Ca2MnPAu at its relaxed geometry.

a b c (Å): 5.418 5.418 4.710
angles (deg): 90.00 90.00 90.00
Atoms (fractional coordinates):
Ca 0.000 0.500 0.000
Ca 0.500 0.000 0.000
Mn 0.000 0.000 0.000
P 0.500 0.500 0.500
Au 0.000 0.000 0.500

Crystal system = tetragonal
Magnetization = 4.0 μB per formula unit
Energy relative to the elements = 0.3787 eV/atom

=====

Entry 2:
VASP calculation (PBE-GGA) on crystalline TbNdTlRu at its relaxed geometry.

a b c (Å): 5.180 5.180 5.180
angles (deg): 60.00 60.00 60.00
Atoms (fractional coordinates):
Tb 0.000 0.000 0.000
Nd 0.500 0.500 0.500
Tl 0.250 0.250 0.250
Ru 0.750 0.750 0.750

Crystal system = cubic
Magnetization = 0.0 μB per formula unit
Energy relative to the elements = -0.1868 eV/atom

=====

Entry 3:
VASP calculation (PBE-GGA) on crystalline UAl2GaPt4 at its relaxed geometry.

a b c (Å): 8.905 8.905 8.905
angles (deg): 27.91 27.91 27.91
Atoms (fractional coordinates):
U 0.000 0.000 0.000
Al 0.243 0.243 0.243
Al 0.757 0.757 0.757
Ga 0.500 0.500 0.500
Pt 0.133 0.133 0.133
Pt 0.397 0.397 0.397
Pt 0.603 0.603 0.603
Pt 0.867 0.867 0.867

Crystal system = trigonal
Magnetization = 2.1 μB per formula unit
Energy relative to the elements = -0.7838 eV/atom

=====

Entry 4:
VASP calculation (PBE-GGA) on crystalline LaBeZn2 at its relaxed geometry.

a b c (Å): 4.103 4.290 4.699
angles (deg): 90.00 90.00 90.00
Atoms (fractional coordinates):
La 0.000 0.000 0.000
Be 0.500 0.500 0.000
Zn 0.000 0.500 0.500
Zn 0.500 0.000 0.500

Crystal system = orthorhombic
Magnetization = 0.0 μB per formula unit
Energy relative to the elements = 0.1867 eV/atom